No. 1
# Mn3V4Os2 (PBE, relaxed)
data_Mn3V4Os2
_chemical_formula_sum 'Mn3 V4 Os2'
_cell_length_a 4.1768
_cell_length_b 4.1768
_cell_length_c 7.6489
_cell_angle_alpha 90.00
_cell_angle_beta 90.00
_cell_angle_gamma 120.00
_symmetry_space_group_name_H-M 'P -3 m 1'
_symmetry_Int_Tables_number 164
_symmetry_space_group_name_Hall '-P 3 2"'
loop_
_atom_site_label
_atom_site_fract_x
_atom_site_fract_y
_atom_site_fract_z
Mn1 0.0000 0.0000 0.0000
Mn2 0.3333 0.6667 0.5652
V1 0.0000 0.0000 0.3389
V2 0.3333 0.6667 0.8887
Os1 0.3333 0.6667 0.2223
# Formation energy from the elements (eV per atom): -0.218
# N(E_F) (states/eV per atom): 0.668

=====

No. 2
# Tc2GeOsCl (PBE, relaxed)
data_Tc2GeOsCl
_chemical_formula_sum 'Tc2 Ge1 Os1 Cl1'
_cell_length_a 4.717
_cell_length_b 4.717
_cell_length_c 4.570
_cell_angle_alpha 90.00
_cell_angle_beta 90.00
_cell_angle_gamma 90.00
_symmetry_space_group_name_H-M 'P 4/m m m'
_symmetry_Int_Tables_number 123
_symmetry_space_group_name_Hall '-P 4 2'
loop_
_atom_site_label
_atom_site_fract_x
_atom_site_fract_y
_atom_site_fract_z
Tc1 0.000 0.500 0.000
Ge1 0.000 0.000 0.000
Os1 0.500 0.500 0.500
Cl1 0.000 0.000 0.500
# Formation energy from raw total energies (kJ/mol of atoms): 199
# N(E_F) (states/eV per atom): 1.066

=====

No. 3
# KBiSe2Br (PBE, relaxed)
data_KBiSe2Br
_chemical_formula_sum 'K1 Bi1 Se2 Br1'
_cell_length_a 5.531
_cell_length_b 5.531
_cell_length_c 5.921
_cell_angle_alpha 90.00
_cell_angle_beta 90.00
_cell_angle_gamma 90.00
_symmetry_space_group_name_H-M 'P 4/m m m'
_symmetry_Int_Tables_number 123
_symmetry_space_group_name_Hall '-P 4 2'
loop_
_atom_site_label
_atom_site_fract_x
_atom_site_fract_y
_atom_site_fract_z
K1 0.000 0.000 0.000
Bi1 0.500 0.500 0.500
Se1 0.000 0.500 0.500
Br1 0.500 0.500 0.000
# Formation energy from raw total energies (kJ/mol of atoms): -52
# Polymorph energy (0 for the lowest one) (meV/atom): 0
# N(E_F) (states/eV per atom): 0.521

=====

No. 4
# AcLa2Dy (PBE, relaxed)
data_AcLa2Dy
_chemical_formula_sum 'Ac3 La6 Dy3'
_cell_length_a 3.7737
_cell_length_b 3.7737
_cell_length_c 36.7136
_cell_angle_alpha 90.00
_cell_angle_beta 90.00
_cell_angle_gamma 120.00
_symmetry_space_group_name_H-M 'R 3 m'
_symmetry_Int_Tables_number 160
_symmetry_space_group_name_Hall 'R 3 -2"'
loop_
_atom_site_label
_atom_site_fract_x
_atom_site_fract_y
_atom_site_fract_z
Ac1 0.0000 0.0000 0.0000
La1 0.0000 0.0000 0.5802
La2 0.0000 0.0000 0.7548
Dy1 0.0000 0.0000 0.1676
# Formation energy from the elements (eV per atom): 0.043
# Polymorph energy (0 for the lowest one) (meV/atom): 23
# N(E_F) (states/eV per atom): 1.650

=====

No. 5
# MgZr2Cl (PBE, relaxed)
data_MgZr2Cl
_chemical_formula_sum 'Mg2 Zr4 Cl2'
_cell_length_a 3.054
_cell_length_b 5.489
_cell_length_c 10.475
_cell_angle_alpha 90.00
_cell_angle_beta 90.00
_cell_angle_gamma 90.00
_symmetry_space_group_name_H-M 'I m m m'
_symmetry_Int_Tables_number 71
_symmetry_space_group_name_Hall '-I 2 2'
loop_
_atom_site_label
_atom_site_fract_x
_atom_site_fract_y
_atom_site_fract_z
Mg1 0.000 0.000 0.000
Zr1 0.000 0.500 0.218
Cl1 0.000 0.000 0.500
# Formation energy from raw total energies (kJ/mol of atoms): -22
# Polymorph energy (0 for the lowest one) (meV/atom): 259
# N(E_F) (states/eV per atom): 0.780

=====

No. 6
# CsMo4 (PBE, relaxed)
data_CsMo4
_chemical_formula_sum 'Cs1 Mo4'
_cell_length_a 4.852
_cell_length_b 4.852
_cell_length_c 4.852
_cell_angle_alpha 90.00
_cell_angle_beta 90.00
_cell_angle_gamma 90.00
_symmetry_space_group_name_H-M 'P m -3 m'
_symmetry_Int_Tables_number 221
_symmetry_space_group_name_Hall '-P 4 2 3'
loop_
_atom_site_label
_atom_site_fract_x
_atom_site_fract_y
_atom_site_fract_z
Cs1 0.000 0.000 0.000
Mo1 0.000 0.000 0.500
Mo2 0.500 0.500 0.500
# Formation energy from the elements (eV per atom): 3.490
# N(E_F) (states/eV per atom): 1.643

=====

No. 7
# Li3TbS3 (PBE, relaxed)
data_Li3TbS3
_chemical_formula_sum 'Li18 Tb6 S18'
_cell_length_a 7.0146
_cell_length_b 7.0146
_cell_length_c 19.3892
_cell_angle_alpha 90.00
_cell_angle_beta 90.00
_cell_angle_gamma 120.00
_symmetry_space_group_name_H-M 'R -3'
_symmetry_Int_Tables_number 148
_symmetry_space_group_name_Hall '-R 3'
loop_
_atom_site_label
_atom_site_fract_x
_atom_site_fract_y
_atom_site_fract_z
Li1 0.0095 0.7050 0.1212
Tb1 0.0000 0.0000 0.3335
S1 0.0041 0.6384 0.9163
# Formation energy from raw total energies (kJ/mol of atoms): -156
# N(E_F) (states/eV per atom): 0.000

=====

No. 8
# Pu2CoTe (PBE, relaxed)
data_Pu2CoTe
_chemical_formula_sum 'Pu6 Co3 Te3'
_cell_length_a 4.0360
_cell_length_b 4.0360
_cell_length_c 21.3241
_cell_angle_alpha 90.00
_cell_angle_beta 90.00
_cell_angle_gamma 120.00
_symmetry_space_group_name_H-M 'R -3 m'
_symmetry_Int_Tables_number 166
_symmetry_space_group_name_Hall '-R 3 2"'
loop_
_atom_site_label
_atom_site_fract_x
_atom_site_fract_y
_atom_site_fract_z
Pu1 0.0000 0.0000 0.2340
Co1 0.0000 0.0000 0.5000
Te1 0.0000 0.0000 0.0000
# Formation energy from raw total energies (kJ/mol of atoms): -37
# N(E_F) (states/eV per atom): 3.306

=====

No. 9
# SrLiEuSn (PBE, relaxed)
data_SrLiEuSn
_chemical_formula_sum 'Sr4 Li4 Eu4 Sn4'
_cell_length_a 7.969
_cell_length_b 7.969
_cell_length_c 7.969
_cell_angle_alpha 90.00
_cell_angle_beta 90.00
_cell_angle_gamma 90.00
_symmetry_space_group_name_H-M 'F -4 3 m'
_symmetry_Int_Tables_number 216
_symmetry_space_group_name_Hall 'F -4 2 3'
loop_
_atom_site_label
_atom_site_fract_x
_atom_site_fract_y
_atom_site_fract_z
Sr1 0.000 0.000 0.000
Li1 0.250 0.250 0.250
Eu1 0.000 0.000 0.500
Sn1 0.250 0.250 0.750
# Formation energy from the elements (eV per atom): -0.428
# N(E_F) (states/eV per atom): 3.322

=====

No. 10
# Pr6Ho (PBE, relaxed)
data_Pr6Ho
_chemical_formula_sum 'Pr12 Ho2'
_cell_length_a 8.286
_cell_length_b 8.286
_cell_length_c 8.286
_cell_angle_alpha 90.00
_cell_angle_beta 90.00
_cell_angle_gamma 90.00
_symmetry_space_group_name_H-M 'I m -3 m'
_symmetry_Int_Tables_number 229
_symmetry_space_group_name_Hall '-I 4 2 3'
loop_
_atom_site_label
_atom_site_fract_x
_atom_site_fract_y
_atom_site_fract_z
Pr1 0.000 0.250 0.500
Ho1 0.000 0.000 0.000
# Formation energy from the elements (eV per atom): 1.233
# Polymorph energy (0 for the lowest one) (meV/atom): 997
# N(E_F) (states/eV per atom): 0.784

=====

No. 11
# HoAlAg4 (PBE, relaxed)
data_HoAlAg4
_chemical_formula_sum 'Ho4 Al4 Ag16'
_cell_length_a 4.903
_cell_length_b 13.724
_cell_length_c 7.338
_cell_angle_alpha 90.00
_cell_angle_beta 90.00
_cell_angle_gamma 90.00
_symmetry_space_group_name_H-M 'C m c m'
_symmetry_Int_Tables_number 63
_symmetry_space_group_name_Hall '-C 2c 2'
loop_
_atom_site_label
_atom_site_fract_x
_atom_site_fract_y
_atom_site_fract_z
Ho1 0.000 0.120 0.250
Al1 0.000 0.354 0.250
Ag1 0.000 0.089 0.750
Ag2 0.000 0.283 0.568
Ag3 0.000 0.500 0.000
# Formation energy from the elements (eV per atom): -0.056
# Polymorph energy (0 for the lowest one) (meV/atom): 82
# N(E_F) (states/eV per atom): 0.405

=====

No. 12
# NaLiLa2Os (PBE, relaxed)
data_NaLiLa2Os
_chemical_formula_sum 'Na1 Li1 La2 Os1'
_cell_length_a 5.494
_cell_length_b 5.494
_cell_length_c 5.370
_cell_angle_alpha 90.00
_cell_angle_beta 90.00
_cell_angle_gamma 90.00
_symmetry_space_group_name_H-M 'P 4/m m m'
_symmetry_Int_Tables_number 123
_symmetry_space_group_name_Hall '-P 4 2'
loop_
_atom_site_label
_atom_site_fract_x
_atom_site_fract_y
_atom_site_fract_z
Na1 0.000 0.000 0.000
Li1 0.500 0.500 0.000
La1 0.000 0.500 0.500
Os1 0.500 0.500 0.500
# Formation energy from the elements (eV per atom): 0.116
# N(E_F) (states/eV per atom): 0.920

=====

Q: What is the N(E_F) in the eighth record?
A: 3.306 states/eV per atom

=====

Q: Among the records above, which one has the highest N(E_F)?
A: SrLiEuSn

=====

Copy entry 7 word for word.
# Li3TbS3 (PBE, relaxed)
data_Li3TbS3
_chemical_formula_sum 'Li18 Tb6 S18'
_cell_length_a 7.0146
_cell_length_b 7.0146
_cell_length_c 19.3892
_cell_angle_alpha 90.00
_cell_angle_beta 90.00
_cell_angle_gamma 120.00
_symmetry_space_group_name_H-M 'R -3'
_symmetry_Int_Tables_number 148
_symmetry_space_group_name_Hall '-R 3'
loop_
_atom_site_label
_atom_site_fract_x
_atom_site_fract_y
_atom_site_fract_z
Li1 0.0095 0.7050 0.1212
Tb1 0.0000 0.0000 0.3335
S1 0.0041 0.6384 0.9163
# Formation energy from raw total energies (kJ/mol of atoms): -156
# N(E_F) (states/eV per atom): 0.000

=====

Q: Which of these has the lowest N(E_F)?
A: Li3TbS3